# LiZrSc | Alexandria via LeMat-Bulk | GGA-PBE | optimized geometry
# Density = 3.49 g/cm³
# Relative energy among the computed polymorphs = 0.065 eV per atom
data_LiZrSc
_chemical_formula_sum 'Li2 Zr2 Sc2'
_symmetry_space_group_name_H-M 'P -1'
_symmetry_Int_Tables_number 2
_cell_length_a 3.203
_cell_length_b 6.022
_cell_length_c 7.528
_cell_angle_alpha 76.81
_cell_angle_beta 89.77
_cell_angle_gamma 74.64
loop_
_symmetry_equiv_pos_as_xyz
'x,y,z'
'-x,-y,-z'
loop_
_atom_site_label
_atom_site_type_symbol
_atom_site_fract_x
_atom_site_fract_y
_atom_site_fract_z
Li1 Li 0.155 0.198 0.022
Zr1 Zr 0.188 0.117 0.624
Sc1 Sc 0.471 0.561 0.699

# Li2ZrSc | Alexandria via LeMat-Bulk | GGA-PBE | optimized geometry
# Density = 2.98 g/cm³
# Relative energy among the computed polymorphs = 0.221 eV per atom
data_Li2ZrSc
_chemical_formula_sum 'Li4 Zr2 Sc2'
_symmetry_space_group_name_H-M 'C m m m'
_symmetry_Int_Tables_number 65
_symmetry_space_group_name_Hall '-C 2 2'
_cell_length_a 6.032
_cell_length_b 9.669
_cell_length_c 2.871
_cell_angle_alpha 90.00
_cell_angle_beta 90.00
_cell_angle_gamma 90.00
loop_
_atom_site_label
_atom_site_type_symbol
_atom_site_fract_x
_atom_site_fract_y
_atom_site_fract_z
Li1 Li 0.250 0.250 0.000
Zr1 Zr 0.000 0.000 0.500
Sc1 Sc 0.000 0.500 0.500

# LiZrSc | Alexandria via LeMat-Bulk | GGA-PBE | optimized geometry
# Density = 3.59 g/cm³
# Relative energy among the computed polymorphs = 0.042 eV per atom
data_LiZrSc
_chemical_formula_sum 'Li2 Zr2 Sc2'
_symmetry_space_group_name_H-M 'I 4 m m'
_symmetry_Int_Tables_number 107
_symmetry_space_group_name_Hall 'I 4 -2'
_cell_length_a 3.201
_cell_length_b 3.201
_cell_length_c 12.922
_cell_angle_alpha 90.00
_cell_angle_beta 90.00
_cell_angle_gamma 90.00
loop_
_atom_site_label
_atom_site_type_symbol
_atom_site_fract_x
_atom_site_fract_y
_atom_site_fract_z
Li1 Li 0.000 0.000 0.000
Zr1 Zr 0.000 0.000 0.332
Sc1 Sc 0.000 0.000 0.671

# Li2ZrSc | Alexandria via LeMat-Bulk | GGA-PBE | optimized geometry
# Density = 2.90 g/cm³
# Relative energy among the computed polymorphs = 0.147 eV per atom
data_Li2ZrSc
_chemical_formula_sum 'Li6 Zr3 Sc3'
_symmetry_space_group_name_H-M 'R -3 m'
_symmetry_Int_Tables_number 166
_symmetry_space_group_name_Hall '-R 3 2"'
_cell_length_a 3.0238
_cell_length_b 3.0238
_cell_length_c 32.5017
_cell_angle_alpha 90.00
_cell_angle_beta 90.00
_cell_angle_gamma 120.00
loop_
_atom_site_label
_atom_site_type_symbol
_atom_site_fract_x
_atom_site_fract_y
_atom_site_fract_z
Li1 Li 0.0000 0.0000 0.2503
Zr1 Zr 0.0000 0.0000 0.5000
Sc1 Sc 0.0000 0.0000 0.0000

# Li2ZrSc | Alexandria via LeMat-Bulk | GGA-PBE | optimized geometry
# Density = 2.96 g/cm³
# Relative energy among the computed polymorphs = 0.371 eV per atom
data_Li2ZrSc
_chemical_formula_sum 'Li8 Zr4 Sc4'
_symmetry_space_group_name_H-M 'F -4 3 m'
_symmetry_Int_Tables_number 216
_symmetry_space_group_name_Hall 'F -4 2 3'
_cell_length_a 6.959
_cell_length_b 6.959
_cell_length_c 6.959
_cell_angle_alpha 90.00
_cell_angle_beta 90.00
_cell_angle_gamma 90.00
loop_
_atom_site_label
_atom_site_type_symbol
_atom_site_fract_x
_atom_site_fract_y
_atom_site_fract_z
Li1 Li 0.000 0.000 0.000
Li2 Li 0.250 0.250 0.250
Zr1 Zr 0.250 0.250 0.750
Sc1 Sc 0.000 0.000 0.500

# LiZrSc | Alexandria via LeMat-Bulk | GGA-PBE | optimized geometry
# Density = 3.06 g/cm³
# Relative energy among the computed polymorphs = 1.073 eV per atom
data_LiZrSc
_chemical_formula_sum 'Li4 Zr4 Sc4'
_symmetry_space_group_name_H-M 'F -4 3 m'
_symmetry_Int_Tables_number 216
_symmetry_space_group_name_Hall 'F -4 2 3'
_cell_length_a 6.772
_cell_length_b 6.772
_cell_length_c 6.772
_cell_angle_alpha 90.00
_cell_angle_beta 90.00
_cell_angle_gamma 90.00
loop_
_atom_site_label
_atom_site_type_symbol
_atom_site_fract_x
_atom_site_fract_y
_atom_site_fract_z
Li1 Li 0.000 0.000 0.000
Zr1 Zr 0.250 0.250 0.750
Sc1 Sc 0.000 0.000 0.500

# LiZrSc | Alexandria via LeMat-Bulk | GGA-PBE | optimized geometry
# Density = 3.74 g/cm³
# Relative energy among the computed polymorphs = 0.114 eV per atom
data_LiZrSc
_chemical_formula_sum 'Li4 Zr4 Sc4'
_symmetry_space_group_name_H-M 'C 1 2/m 1'
_symmetry_Int_Tables_number 12
_cell_length_a 10.968
_cell_length_b 3.189
_cell_length_c 7.762
_cell_angle_alpha 90.00
_cell_angle_beta 110.46
_cell_angle_gamma 90.00
loop_
_symmetry_equiv_pos_as_xyz
'x,y,z'
'-x,-y,-z'
'-x,y,-z'
'x,-y,z'
'x+1/2,y+1/2,z'
'-x+1/2,-y+1/2,-z'
'-x+1/2,y+1/2,-z'
'x+1/2,-y+1/2,z'
loop_
_atom_site_label
_atom_site_type_symbol
_atom_site_fract_x
_atom_site_fract_y
_atom_site_fract_z
Li1 Li 0.195 0.000 0.075
Zr1 Zr 0.019 0.500 0.219
Sc1 Sc 0.153 0.000 0.583

# LiZrSc3 | Alexandria via LeMat-Bulk | GGA-PBE | optimized geometry
# Density = 2.62 g/cm³
# Relative energy among the computed polymorphs = 0.145 eV per atom
data_LiZrSc3
_chemical_formula_sum 'Li1 Zr1 Sc3'
_symmetry_space_group_name_H-M 'P m -3 m'
_symmetry_Int_Tables_number 221
_symmetry_space_group_name_Hall '-P 4 2 3'
_cell_length_a 5.288
_cell_length_b 5.288
_cell_length_c 5.288
_cell_angle_alpha 90.00
_cell_angle_beta 90.00
_cell_angle_gamma 90.00
loop_
_atom_site_label
_atom_site_type_symbol
_atom_site_fract_x
_atom_site_fract_y
_atom_site_fract_z
Li1 Li 0.000 0.000 0.000
Zr1 Zr 0.500 0.500 0.500
Sc1 Sc 0.000 0.500 0.500

# LiZrSc | Alexandria via LeMat-Bulk | GGA-PBE | optimized geometry
# Density = 3.71 g/cm³
# Relative energy among the computed polymorphs = 0.137 eV per atom
data_LiZrSc
_chemical_formula_sum 'Li4 Zr4 Sc4'
_symmetry_space_group_name_H-M 'I m a 2'
_symmetry_Int_Tables_number 46
_cell_length_a 4.892
_cell_length_b 8.926
_cell_length_c 5.872
_cell_angle_alpha 90.00
_cell_angle_beta 90.00
_cell_angle_gamma 90.00
loop_
_symmetry_equiv_pos_as_xyz
'x,y,z'
'-x,-y,z'
'-x+1/2,y,z'
'x+1/2,-y,z'
'x+1/2,y+1/2,z+1/2'
'-x+1/2,-y+1/2,z+1/2'
'-x,y+1/2,z+1/2'
'x,-y+1/2,z+1/2'
loop_
_atom_site_label
_atom_site_type_symbol
_atom_site_fract_x
_atom_site_fract_y
_atom_site_fract_z
Li1 Li 0.250 0.069 0.000
Zr1 Zr 0.250 0.712 0.741
Sc1 Sc 0.250 0.098 0.522

# Li2ZrSc | Alexandria via LeMat-Bulk | GGA-PBE | optimized geometry
# Density = 2.99 g/cm³
# Relative energy among the computed polymorphs = 0.260 eV per atom
data_Li2ZrSc
_chemical_formula_sum 'Li4 Zr2 Sc2'
_symmetry_space_group_name_H-M 'I 4/m m m'
_symmetry_Int_Tables_number 139
_symmetry_space_group_name_Hall '-I 4 2'
_cell_length_a 4.169
_cell_length_b 4.169
_cell_length_c 9.590
_cell_angle_alpha 90.00
_cell_angle_beta 90.00
_cell_angle_gamma 90.00
loop_
_atom_site_label
_atom_site_type_symbol
_atom_site_fract_x
_atom_site_fract_y
_atom_site_fract_z
Li1 Li 0.000 0.500 0.250
Zr1 Zr 0.000 0.000 0.000
Sc1 Sc 0.000 0.000 0.500

# LiZrSc4 | Alexandria via LeMat-Bulk | GGA-PBE | optimized geometry
# Density = 3.12 g/cm³
data_LiZrSc4
_chemical_formula_sum 'Li4 Zr4 Sc16'
_symmetry_space_group_name_H-M 'F -4 3 m'
_symmetry_Int_Tables_number 216
_symmetry_space_group_name_Hall 'F -4 2 3'
_cell_length_a 8.400
_cell_length_b 8.400
_cell_length_c 8.400
_cell_angle_alpha 90.00
_cell_angle_beta 90.00
_cell_angle_gamma 90.00
loop_
_atom_site_label
_atom_site_type_symbol
_atom_site_fract_x
_atom_site_fract_y
_atom_site_fract_z
Li1 Li 0.000 0.000 0.000
Zr1 Zr 0.250 0.250 0.250
Sc1 Sc 0.123 0.123 0.623

# LiZrSc | Alexandria via LeMat-Bulk | GGA-PBE | optimized geometry
# Density = 3.52 g/cm³
# Relative energy among the computed polymorphs = 0.094 eV per atom
data_LiZrSc
_chemical_formula_sum 'Li2 Zr2 Sc2'
_symmetry_space_group_name_H-M 'P m m 2'
_symmetry_Int_Tables_number 25
_cell_length_a 3.187
_cell_length_b 4.391
_cell_length_c 9.636
_cell_angle_alpha 90.00
_cell_angle_beta 90.00
_cell_angle_gamma 90.00
loop_
_symmetry_equiv_pos_as_xyz
'x,y,z'
'-x,-y,z'
'-x,y,z'
'x,-y,z'
loop_
_atom_site_label
_atom_site_type_symbol
_atom_site_fract_x
_atom_site_fract_y
_atom_site_fract_z
Li1 Li 0.000 0.000 0.000
Li2 Li 0.500 0.500 0.158
Zr1 Zr 0.000 0.000 0.329
Zr2 Zr 0.000 0.000 0.649
Sc1 Sc 0.500 0.500 0.492
Sc2 Sc 0.500 0.500 0.822

Total magnetization (μB per cell)
0.00 0.00 0.00 0.00 3.29 0.01 0.00 0.00 0.00 0.00 1.33 0.00
Final energy (eV per cell)
-32.90 -34.98 -33.03 -53.37 -67.58 -53.69 -65.20 -25.85 -64.92 -34.67 -133.34 -32.72
Energy relative to the elements (kJ/mol of formula units)
33 117 27 88 175 325 48 348 54 132 237 42